Record 1
Entry from Alexandria: an optimized crystal structure of TcAs2BrN (PBE-GGA).

Unit cell a=4.7302 b=4.7302 c=5.5014 alpha=90.00 beta=90.00 gamma=90.00
Atoms (fractional coordinates):
Tc 0.0000 0.0000 0.0000
As 0.0000 0.5000 0.0000
As 0.5000 0.0000 0.0000
Br 0.0000 0.0000 0.5000
N 0.5000 0.5000 0.5000

Output
As for the energy above the most stable polymorph in this dataset: 48 meV per atom. The size of the total moment is 2.2 μB/cell. As for the symmetry: P4/mmm. The formation energy from raw total energies comes out at 6.475 eV per formula unit. Its total DFT energy (no corrections) is -23.2 eV for the cell shown. The density of states at the Fermi level is 0.675 states/eV per atom.

---

Record 2
Entry from Alexandria: an optimized crystal structure of TcAs2BrN (PBE-GGA).

Unit cell a=4.3864 b=4.3864 c=4.3052 alpha=90.00 beta=90.00 gamma=90.00
Atoms (fractional coordinates):
Tc 0.0000 0.0000 0.0000
As 0.0000 0.5000 0.5000
As 0.5000 0.0000 0.5000
Br 0.5000 0.5000 0.0000
N 0.5000 0.5000 0.5000

Output
As for the energy above the most stable polymorph in this dataset: 0 meV per atom. The size of the total moment is 2.1 μB/cell. As for the symmetry: P4/mmm. The formation energy from raw total energies comes out at 6.236 eV per formula unit. Its total DFT energy (no corrections) is -23.4 eV for the cell shown. The density of states at the Fermi level is 0.610 states/eV per atom.